Record 1
DFT (PBE-GGA) results for a relaxed LaTbPd4 crystal.

final energy	-5.65	eV/atom
relative energy among the computed polymorphs	258	meV per atom
formation energy	-0.5945	eV per atom
symmetry	No. 12

The structure in POSCAR format:
```
LaTbPd4
1.0
3.9764 0.0000 -0.0003
-0.0001 3.9768 0.0000
0.0063 0.0099 8.6796
La Tb Pd
1 1 4
Cartesian
1.9993 1.9880 8.6634 La
0.0083 3.9707 4.3236 Tb
1.9957 3.9691 2.2041 Pd
1.9972 3.9728 6.4428 Pd
0.0097 1.9830 6.4427 Pd
0.0068 1.9817 2.2045 Pd
```



Record 2
DFT (PBE-GGA) results for a relaxed AcInSi2O6 crystal.

final energy	-7.32	eV/atom
E_form (uncorrected)	-2.58	eV per atom
symmetry	No. 15

The structure in POSCAR format:
```
AcInSi2O6
1.0
-2.8474 3.5039 5.8589
-5.0298 -1.6816 -5.1561
-1.1938 -6.7172 3.3988
Ac In Si O
2 2 4 12
Cartesian
-3.9092 0.0109 2.8559 Ac
-5.1618 -4.9058 1.2457 Ac
-5.1521 -2.9425 -3.4176 In
-3.9188 -1.9524 7.5192 In
-3.3534 -3.7611 4.1419 Si
-5.7780 -3.2179 4.3665 Si
-5.7175 -1.1338 -0.0403 Si
-3.2929 -1.6771 -0.2649 Si
-5.3437 1.0917 4.4314 O
-1.9089 0.2742 4.1357 O
-3.7272 -5.9866 -0.3298 O
-7.1620 -5.1692 -0.0341 O
-2.4863 -1.1585 1.0362 O
-5.9883 -0.3792 1.3632 O
-6.5847 -3.7365 3.0654 O
-3.0826 -4.5158 2.7384 O
-4.7175 -2.5180 0.2487 O
-4.3447 -0.4158 -0.8149 O
-4.3534 -2.3770 3.8529 O
-4.7263 -4.4792 4.9165 O
```



Record 3
DFT (PBE-GGA) results for a relaxed Th2BiPt crystal.

final energy	-7.07	eV/atom
relative energy among the computed polymorphs	0	meV per atom
formation energy	-0.8762	eV per atom
symmetry	No. 166

The structure in POSCAR format:
```
Th2BiPt
1.0
4.2615 0.0000 0.0000
2.1308 3.6906 0.0000
2.1308 1.2302 7.7305
Pt Bi Th
1 1 2
Cartesian
0.0000 0.0000 0.0000 Pt
4.2615 2.4604 3.8652 Bi
2.1308 1.2302 1.6440 Th
6.3923 3.6906 6.0865 Th
```